## Y3Sc2Tl3 (PBE-GGA)

Data for Y3Sc2Tl3 after structural relaxation.

```
data_Y3Sc2Tl3
_chemical_formula_sum 'Y6 Sc4 Tl6'
_symmetry_space_group_name_H-M 'I m m m'
_symmetry_Int_Tables_number 71
_symmetry_space_group_name_Hall '-I 2 2'
_cell_length_a 3.7308
_cell_length_b 5.2505
_cell_length_c 21.9071
_cell_angle_alpha 90.00
_cell_angle_beta 90.00
_cell_angle_gamma 90.00
loop_
_atom_site_label
_atom_site_type_symbol
_atom_site_fract_x
_atom_site_fract_y
_atom_site_fract_z
Y1 Y 0.0000 0.0000 0.0000
Y2 Y 0.0000 0.5000 0.1267
Sc1 Sc 0.0000 0.0000 0.2403
Tl1 Tl 0.0000 0.0000 0.5000
Tl2 Tl 0.0000 0.5000 0.3691
```

Volume = 429 Å³/cell
Formation energy = -0.284 eV/atom
Total magnetization = 0.000 μB per atom
N(E_F) = 1.05 states/eV/atom